Run one
The following is a GGA-PBE calculation of an optimized crystal structure of RbCrH2Au, from the Alexandria database.

- M_tot (μB per atom) = 1.138
- ρ (g cm⁻³) = 5.1
- N(E_F) (states/eV/cell) = 1.1

Unit cell a=4.180 b=4.180 c=6.262 alpha=90.00 beta=90.00 gamma=90.00
Sites, in units of the cell vectors:
Rb  0.000  0.000  0.000
Cr  0.500  0.500  0.000
H  0.000  0.500  0.500
H  0.500  0.000  0.500
Au  0.000  0.000  0.500

Run two
The following is a GGA-PBE calculation of an optimized crystal structure of RbCrH2Au, from the Alexandria database.

- M_tot (μB per atom) = 1.020
- ρ (g cm⁻³) = 5.8
- N(E_F) (states/eV/cell) = 1.6

Unit cell a=4.285 b=4.285 c=5.210 alpha=90.00 beta=90.00 gamma=90.00
Sites, in units of the cell vectors:
Rb  0.000  0.000  0.000
Cr  0.500  0.500  0.000
H  0.000  0.500  0.500
H  0.500  0.000  0.500
Au  0.500  0.500  0.500

Quick one: most stable of them? run two